[1]
Below is crystalline Ba2CaBr at its relaxed geometry, with properties calculated at the PBE level.

Lattice parameters (Å, degrees): 4.354 4.354 34.860 90.00 90.00 120.00
Atoms (fractional coordinates):
1 Ba 0.000 0.000 0.000
2 Ba 0.000 0.000 0.195
3 Ba 0.333 0.667 0.667
4 Ba 0.333 0.667 0.862
5 Ba 0.667 0.333 0.333
6 Ba 0.667 0.333 0.528
7 Ca 0.000 0.000 0.430
8 Ca 0.333 0.667 0.097
9 Ca 0.667 0.333 0.764
10 Br 0.000 0.000 0.598
11 Br 0.333 0.667 0.264
12 Br 0.667 0.333 0.931

Summary:
V, Å³/atom: 47.69
SG: R3m
Formation energy (no corrections), eV/atom: -0.72

[2]
Below is crystalline BaCa4Br at its relaxed geometry, with properties calculated at the PBE level.

Lattice parameters (Å, degrees): 7.417 7.417 7.417 60.00 60.00 60.00
Atoms (fractional coordinates):
1 Ba 0.000 0.000 0.000
2 Ca 0.374 0.374 0.374
3 Ca 0.374 0.374 0.879
4 Ca 0.374 0.879 0.374
5 Ca 0.879 0.374 0.374
6 Br 0.750 0.750 0.750

Summary:
V, Å³/atom: 48.09
SG: F-43m
Formation energy (no corrections), eV/atom: -0.05

[3]
Below is crystalline Ba2CaBr at its relaxed geometry, with properties calculated at the PBE level.

Lattice parameters (Å, degrees): 4.007 4.007 11.262 90.00 90.00 90.00
Atoms (fractional coordinates):
1 Ba 0.000 0.000 0.000
2 Ba 0.500 0.500 0.319
3 Ca 0.500 0.500 0.724
4 Br 0.000 0.000 0.527

Summary:
V, Å³/atom: 45.21
SG: P4mm
Formation energy (no corrections), eV/atom: -0.60

[4]
Below is crystalline BaCaBr4 at its relaxed geometry, with properties calculated at the PBE level.

Lattice parameters (Å, degrees): 6.619 6.619 6.619 60.00 60.00 60.00
Atoms (fractional coordinates):
1 Ba 0.000 0.000 0.000
2 Ca 0.250 0.250 0.250
3 Br 0.126 0.625 0.625
4 Br 0.625 0.126 0.625
5 Br 0.625 0.625 0.126
6 Br 0.625 0.625 0.625

Summary:
V, Å³/atom: 34.17
SG: F-43m
Formation energy (no corrections), eV/atom: -0.77

[5]
Below is crystalline BaCa3Br at its relaxed geometry, with properties calculated at the PBE level.

Lattice parameters (Å, degrees): 6.102 6.102 6.102 90.00 90.00 90.00
Atoms (fractional coordinates):
1 Ba 0.000 0.000 0.000
2 Ca 0.000 0.500 0.500
3 Ca 0.500 0.000 0.500
4 Ca 0.500 0.500 0.000
5 Br 0.500 0.500 0.500

Summary:
V, Å³/atom: 45.44
Energy relative to the lowest polymorph listed for this composition, kJ/mol of formula units: 0.0
SG: Pm-3m
Formation energy (no corrections), eV/atom: -0.35

[6]
Below is crystalline Ba2CaBr at its relaxed geometry, with properties calculated at the PBE level.

Lattice parameters (Å, degrees): 9.241 9.241 9.241 90.00 90.00 90.00
Atoms (fractional coordinates):
1 Ba 0.250 0.250 0.250
2 Ba 0.250 0.250 0.750
3 Ba 0.250 0.750 0.250
4 Ba 0.250 0.750 0.750
5 Ba 0.750 0.250 0.250
6 Ba 0.750 0.250 0.750
7 Ba 0.750 0.750 0.250
8 Ba 0.750 0.750 0.750
9 Ca 0.000 0.000 0.000
10 Ca 0.000 0.500 0.500
11 Ca 0.500 0.000 0.500
12 Ca 0.500 0.500 0.000
13 Br 0.000 0.000 0.500
14 Br 0.000 0.500 0.000
15 Br 0.500 0.000 0.000
16 Br 0.500 0.500 0.500

Summary:
V, Å³/atom: 49.33
SG: Fm-3m
Formation energy (no corrections), eV/atom: -0.34

[7]
Below is crystalline Ba2CaBr at its relaxed geometry, with properties calculated at the PBE level.

Lattice parameters (Å, degrees): 4.586 6.788 6.787 90.00 90.00 90.00
Atoms (fractional coordinates):
1 Ba 0.000 0.000 0.000
2 Ba 0.000 0.500 0.499
3 Ca 0.500 0.500 0.999
4 Br 0.000 0.000 0.500

Summary:
V, Å³/atom: 52.82
SG: Pmm2
Formation energy (no corrections), eV/atom: -0.60

[8]
Below is crystalline BaCaCd2Br8 at its relaxed geometry, with properties calculated at the PBE level.

Lattice parameters (Å, degrees): 7.058 7.058 9.902 90.00 90.00 120.00
Atoms (fractional coordinates):
1 Ba 0.000 0.000 0.000
2 Ca 0.000 0.000 0.500
3 Cd 0.333 0.667 0.746
4 Cd 0.667 0.333 0.254
5 Br 0.025 0.706 0.307
6 Br 0.294 0.319 0.307
7 Br 0.319 0.025 0.693
8 Br 0.333 0.667 0.009
9 Br 0.667 0.333 0.991
10 Br 0.681 0.975 0.307
11 Br 0.706 0.681 0.693
12 Br 0.975 0.294 0.693

Summary:
V, Å³/atom: 35.60
SG: P-3
Formation energy (no corrections), eV/atom: -1.39

[9]
Below is crystalline BaCaCdBr6 at its relaxed geometry, with properties calculated at the PBE level.

Lattice parameters (Å, degrees): 7.387 7.387 14.036 90.00 90.00 120.00
Atoms (fractional coordinates):
1 Ba 0.000 0.000 0.000
2 Ba 0.000 0.000 0.500
3 Ca 0.333 0.667 0.250
4 Ca 0.667 0.333 0.750
5 Cd 0.333 0.667 0.750
6 Cd 0.667 0.333 0.250
7 Br 0.009 0.368 0.634
8 Br 0.009 0.642 0.866
9 Br 0.358 0.368 0.866
10 Br 0.358 0.991 0.634
11 Br 0.368 0.009 0.134
12 Br 0.368 0.358 0.366
13 Br 0.632 0.642 0.634
14 Br 0.632 0.991 0.866
15 Br 0.642 0.009 0.366
16 Br 0.642 0.632 0.134
17 Br 0.991 0.358 0.134
18 Br 0.991 0.632 0.366

Summary:
V, Å³/atom: 36.85
SG: P-31c
Formation energy (no corrections), eV/atom: -1.67

[10]
Below is crystalline BaCaCoBr2 at its relaxed geometry, with properties calculated at the PBE level.

Lattice parameters (Å, degrees): 5.560 5.560 5.360 90.00 90.00 90.00
Atoms (fractional coordinates):
1 Ba 0.000 0.000 0.000
2 Ca 0.500 0.500 0.500
3 Co 0.500 0.500 0.000
4 Br 0.000 0.500 0.500
5 Br 0.500 0.000 0.500

Summary:
V, Å³/atom: 33.14
SG: P4/mmm
Formation energy (no corrections), eV/atom: -0.63

[11]
Below is crystalline BaCaFe2Br8 at its relaxed geometry, with properties calculated at the PBE level.

Lattice parameters (Å, degrees): 6.860 6.860 9.792 90.00 90.00 120.00
Atoms (fractional coordinates):
1 Ba 0.000 0.000 0.000
2 Ca 0.000 0.000 0.500
3 Fe 0.333 0.667 0.757
4 Fe 0.667 0.333 0.243
5 Br 0.004 0.685 0.304
6 Br 0.315 0.319 0.304
7 Br 0.319 0.004 0.696
8 Br 0.333 0.667 0.002
9 Br 0.667 0.333 0.998
10 Br 0.681 0.996 0.304
11 Br 0.685 0.681 0.696
12 Br 0.996 0.315 0.696

Summary:
V, Å³/atom: 33.26
SG: P-3
Formation energy (no corrections), eV/atom: -1.18

[12]
Below is crystalline BaCaIn2Br at its relaxed geometry, with properties calculated at the PBE level.

Lattice parameters (Å, degrees): 6.654 6.654 5.964 90.00 90.00 90.00
Atoms (fractional coordinates):
1 Ba 0.000 0.000 0.000
2 Ca 0.500 0.500 0.500
3 In 0.000 0.500 0.000
4 In 0.500 0.000 0.000
5 Br 0.000 0.000 0.500

Summary:
V, Å³/atom: 52.81
SG: P4/mmm
Formation energy (no corrections), eV/atom: 0.02

[13]
Below is crystalline Ba2CaLaBr at its relaxed geometry, with properties calculated at the PBE level.

Lattice parameters (Å, degrees): 6.530 6.530 6.215 90.00 90.00 90.00
Atoms (fractional coordinates):
1 Ba 0.000 0.500 0.000
2 Ba 0.500 0.000 0.000
3 Ca 0.000 0.000 0.500
4 La 0.000 0.000 0.000
5 Br 0.500 0.500 0.500

Summary:
V, Å³/atom: 53.00
SG: P4/mmm
Formation energy (no corrections), eV/atom: 0.30